Version w
Te2MoF: relaxed, GGA+U.

Geometry as CIF:
```
data_Te2MoF
_chemical_formula_sum 'Te8 Mo4 F4'
_cell_length_a 6.817
_cell_length_b 6.817
_cell_length_c 6.817
_cell_angle_alpha 90.00
_cell_angle_beta 90.00
_cell_angle_gamma 90.00
_symmetry_space_group_name_H-M 'F m -3 m'
_symmetry_Int_Tables_number 225
_symmetry_space_group_name_Hall '-F 4 2 3'
loop_
_atom_site_label
_atom_site_fract_x
_atom_site_fract_y
_atom_site_fract_z
_atom_site_occupancy
Te1 0.250 0.250 0.250 1
Mo1 0.000 0.000 0.000 1
F1 0.000 0.000 0.500 1
```

DOS(E_F) (states/eV/atom): 0.370

***

Version x
Te2MoF: relaxed, GGA+U.

Geometry as CIF:
```
data_Te2MoF
_chemical_formula_sum 'Te8 Mo4 F4'
_cell_length_a 6.594
_cell_length_b 6.594
_cell_length_c 10.921
_cell_angle_alpha 90.00
_cell_angle_beta 90.00
_cell_angle_gamma 90.00
_symmetry_space_group_name_H-M 'I -4 2 d'
_symmetry_Int_Tables_number 122
_symmetry_space_group_name_Hall 'I -4 2bw'
loop_
_atom_site_label
_atom_site_fract_x
_atom_site_fract_y
_atom_site_fract_z
_atom_site_occupancy
Te1 0.247 0.250 0.125 1
Mo1 0.000 0.000 0.000 1
F1 0.000 0.000 0.500 1
```

DOS(E_F) (states/eV/atom): 0.230

***

Quick one: least stable of them? version x

***

Version w
Te2MoF: relaxed, GGA+U.

Geometry as CIF:
```
data_Te2MoF
_chemical_formula_sum 'Te6 Mo3 F3'
_cell_length_a 3.2868
_cell_length_b 3.2868
_cell_length_c 29.8473
_cell_angle_alpha 90.00
_cell_angle_beta 90.00
_cell_angle_gamma 120.00
_symmetry_space_group_name_H-M 'R -3 m'
_symmetry_Int_Tables_number 166
_symmetry_space_group_name_Hall '-R 3 2"'
loop_
_atom_site_label
_atom_site_fract_x
_atom_site_fract_y
_atom_site_fract_z
_atom_site_occupancy
Te1 0.0000 0.0000 0.0964 1
Mo1 0.0000 0.0000 0.0000 1
F1 0.0000 0.0000 0.5000 1
```

DOS(E_F) (states/eV/atom): 0.843

***

Version x
Te2MoF: relaxed, GGA+U.

Geometry as CIF:
```
data_Te2MoF
_chemical_formula_sum 'Te6 Mo3 F3'
_cell_length_a 4.3251
_cell_length_b 4.3251
_cell_length_c 22.1016
_cell_angle_alpha 90.00
_cell_angle_beta 90.00
_cell_angle_gamma 120.00
_symmetry_space_group_name_H-M 'R -3 m'
_symmetry_Int_Tables_number 166
_symmetry_space_group_name_Hall '-R 3 2"'
loop_
_atom_site_label
_atom_site_fract_x
_atom_site_fract_y
_atom_site_fract_z
_atom_site_occupancy
Te1 0.0000 0.0000 0.1035 1
Mo1 0.0000 0.0000 0.5000 1
F1 0.0000 0.0000 0.0000 1
```

DOS(E_F) (states/eV/atom): 0.262

***

Quick one: least stable of them? version w

***

Version w
TeMo2F: relaxed, GGA+U.

Geometry as CIF:
```
data_TeMo2F
_chemical_formula_sum 'Te4 Mo8 F4'
_cell_length_a 7.034
_cell_length_b 7.034
_cell_length_c 7.034
_cell_angle_alpha 90.00
_cell_angle_beta 90.00
_cell_angle_gamma 90.00
_symmetry_space_group_name_H-M 'F m -3 m'
_symmetry_Int_Tables_number 225
_symmetry_space_group_name_Hall '-F 4 2 3'
loop_
_atom_site_label
_atom_site_fract_x
_atom_site_fract_y
_atom_site_fract_z
_atom_site_occupancy
Te1 0.000 0.000 0.000 1
Mo1 0.250 0.250 0.250 1
F1 0.000 0.000 0.500 1
```

DOS(E_F) (states/eV/atom): 0.374

***

Version x
TeMo2F: relaxed, GGA+U.

Geometry as CIF:
```
data_TeMo2F
_chemical_formula_sum 'Te4 Mo8 F4'
_cell_length_a 7.207
_cell_length_b 7.207
_cell_length_c 7.141
_cell_angle_alpha 90.00
_cell_angle_beta 90.00
_cell_angle_gamma 90.00
_symmetry_space_group_name_H-M 'I -4 2 d'
_symmetry_Int_Tables_number 122
_symmetry_space_group_name_Hall 'I -4 2bw'
loop_
_atom_site_label
_atom_site_fract_x
_atom_site_fract_y
_atom_site_fract_z
_atom_site_occupancy
Te1 0.000 0.000 0.000 1
Mo1 0.197 0.250 0.625 1
F1 0.000 0.000 0.500 1
```

DOS(E_F) (states/eV/atom): 0.120

***

Quick one: least stable of them? version w